The following is a DFT calculation (PBE) of an optimized crystal structure of ZrTe2Cl.

abc: 11.1264 11.1264 11.1264
angles: 17.12 17.12 17.12
With the nearest neighbours (Å) after each atom.
Positions (direct):
1 Te 0.0890 0.0890 0.0890  1 Zr 2.93, 3 Cl 3.19
2 Te 0.9110 0.9110 0.9110  1 Zr 2.93, 3 Cl 3.19
3 Cl 0.5000 0.5000 0.5000  6 Te 3.19, 6 Cl 3.31
4 Zr 0.0000 0.0000 0.0000  2 Te 2.93

## Properties
Energy above the lowest structure with this stoichiometry = 4.27 eV per formula unit
E = -3.95 eV per atom
Density = 6.1 g/cm3